1.
## LiGdPuCo (PBE-GGA)

Data for a relaxed LiGdPuCo crystal.

Lattice parameters (Å, degrees): 4.8654 4.8654 4.8654 60.00 60.00 60.00
Last column: nearest neighbours and their distance in Å.
Fractional positions:
Li1 0.0000 0.0000 0.0000  4 Gd 2.98, 4 Pu 2.98
Gd1 0.7500 0.7500 0.7500  4 Li 2.98, 4 Co 2.98
Pu1 0.2500 0.2500 0.2500  4 Co 2.98, 4 Li 2.98
Co1 0.5000 0.5000 0.5000  4 Gd 2.98, 4 Pu 2.98

Calculated values
space-group type	F-43m
energy of formation from the pure elements	107.3	meV per atom
raw total energy	-9.251	eV per atom

=====

2.
## Zr12In3Hg (PBE-GGA)

Data for a relaxed Zr12In3Hg crystal.

Lattice parameters (Å, degrees): 4.4681 4.4681 17.8468 90.00 90.00 90.00
Last column: nearest neighbours and their distance in Å.
Fractional positions:
Zr1 0.0000 0.0000 0.0000  8 Zr 3.15, 4 Hg 3.16
Zr2 0.0000 0.0000 0.2488  8 Zr 3.15-3.17, 4 In 3.16
Zr3 0.0000 0.0000 0.5000  4 In 3.16, 8 Zr 3.16
Zr4 0.0000 0.0000 0.7512  8 Zr 3.15-3.17, 4 In 3.16
Zr5 0.0000 0.5000 0.1244  8 Zr 3.15-3.16, 2 Hg 3.15, 2 In 3.15
Zr6 0.0000 0.5000 0.3748  8 Zr 3.16-3.17, 4 In 3.16-3.17
Zr7 0.0000 0.5000 0.6252  8 Zr 3.16-3.17, 4 In 3.16-3.17
Zr8 0.0000 0.5000 0.8756  8 Zr 3.15-3.16, 2 Hg 3.15, 2 In 3.15
Zr9 0.5000 0.0000 0.1244  8 Zr 3.15-3.16, 2 Hg 3.15, 2 In 3.15
Zr10 0.5000 0.0000 0.3748  8 Zr 3.16-3.17, 4 In 3.16-3.17
Zr11 0.5000 0.0000 0.6252  8 Zr 3.16-3.17, 4 In 3.16-3.17
Zr12 0.5000 0.0000 0.8756  8 Zr 3.15-3.16, 2 Hg 3.15, 2 In 3.15
In1 0.5000 0.5000 0.2490  12 Zr 3.15-3.17
In2 0.5000 0.5000 0.5000  12 Zr 3.16
In3 0.5000 0.5000 0.7510  12 Zr 3.15-3.17
Hg1 0.5000 0.5000 0.0000  12 Zr 3.15-3.16

Calculated values
space-group type	P4/mmm
energy of formation from the pure elements	-220.3	meV per atom
raw total energy	-7.164	eV per atom